This record from Alexandria describes a geometry-optimized SrVH2O4 structure. The functional is PBE with a Hubbard U.

Summary:
As for the density of states at the Fermi level: 0.00 states/eV/f.u. As for the final energy: -6.239 eV per atom. As for the calculated volume: 89 Å³/cell.

Lattice parameters (Å, degrees): 5.0076 5.0076 5.0076 126.80 106.78 96.44
With the nearest neighbours (Å) after each atom.
Positions (direct):
Sr1 0.0000 0.0000 0.0000  8 O 2.63-2.71
V1 0.5000 0.5000 0.0000  4 O 1.84
H1 0.3302 0.8302 0.5000  2 O 1.24
H2 0.6698 0.1698 0.5000  2 O 1.24
O1 0.2061 0.0530 0.6002  1 H 1.24
O2 0.4528 0.6059 0.3998  1 H 1.24
O3 0.5472 0.9470 0.1530  1 H 1.24
O4 0.7939 0.3941 0.8470  1 H 1.24